1.
Computed, not measured: Zr2TiBi2 at its PBEsol-relaxed geometry at the meta-GGA SCAN level of DFT.

Output
Space group: I4/mmm, No. 139
Formation energy from the elements, meV/atom: 408.1
V, Å³ per cell: 131.8

Unit cell a=8.043 b=8.043 c=8.043 alpha=149.74 beta=149.74 gamma=43.33
Positions (direct):
Zr1 0.095 0.095 0.000
Zr2 0.905 0.905 0.000
Ti1 0.500 0.500 0.000
Bi1 0.250 0.750 0.500
Bi2 0.750 0.250 0.500

2.
Computed, not measured: ZrAlCu2 at its PBEsol-relaxed geometry at the meta-GGA SCAN level of DFT.

Output
Space group: Pmma, No. 51
Formation energy from the elements, meV/atom: -346.3
V, Å³ per cell: 120.3

Unit cell a=4.688 b=4.104 c=6.251 alpha=90.00 beta=90.00 gamma=90.00
Positions (direct):
Zr1 0.250 0.000 0.186
Zr2 0.750 0.000 0.814
Al1 0.250 0.500 0.859
Al2 0.750 0.500 0.141
Cu1 0.000 0.500 0.500
Cu2 0.250 0.000 0.622
Cu3 0.500 0.500 0.500
Cu4 0.750 0.000 0.378

3.
Computed, not measured: SiAg2Sb at its PBEsol-relaxed geometry at the meta-GGA SCAN level of DFT.

Output
E_form (uncorrected), meV/atom: 370
Space group: P4/mmm, No. 123
V, Å³ per cell: 75.5

Unit cell a=4.228 b=4.228 c=4.225 alpha=90.00 beta=90.00 gamma=90.00
Positions (direct):
Si1 0.000 0.000 0.000
Ag1 0.000 0.500 0.500
Ag2 0.500 0.000 0.500
Sb1 0.500 0.500 0.000

4.
Computed, not measured: Sr2CaMnRh at its PBEsol-relaxed geometry at the meta-GGA SCAN level of DFT.

Output
Space group: P4/mmm, No. 123
Formation energy from the elements, meV/atom: 827.8
V, Å³ per cell: 179.1

Unit cell a=6.229 b=6.229 c=4.617 alpha=90.00 beta=90.00 gamma=90.00
Positions (direct):
Sr1 0.000 0.500 0.000
Sr2 0.500 0.000 0.000
Ca1 0.000 0.000 0.000
Mn1 0.500 0.500 0.500
Rh1 0.000 0.000 0.500

5.
Computed, not measured: Be4Se at its PBEsol-relaxed geometry at the meta-GGA SCAN level of DFT.

Output
E_form (uncorrected), meV/atom: 490
Space group: I4/m, No. 87
V, Å³ per cell: 53.9

Unit cell a=4.353 b=4.353 c=4.353 alpha=98.45 beta=98.45 gamma=134.91
Positions (direct):
Be1 0.094 0.671 0.766
Be2 0.329 0.094 0.423
Be3 0.671 0.906 0.577
Be4 0.906 0.329 0.234
Se1 0.500 0.500 0.000

6.
Computed, not measured: Sc2Tl2Te at its PBEsol-relaxed geometry at the meta-GGA SCAN level of DFT.

Output
E_form (uncorrected), meV/atom: -373
Space group: I4/mmm, No. 139
V, Å³ per cell: 126.1

Unit cell a=8.312 b=8.312 c=8.312 alpha=152.02 beta=152.02 gamma=39.98
Positions (direct):
Sc1 0.097 0.097 0.000
Sc2 0.903 0.903 0.000
Tl1 0.250 0.750 0.500
Tl2 0.750 0.250 0.500
Te1 0.500 0.500 0.000

7.
Computed, not measured: KTcP3 at its PBEsol-relaxed geometry at the meta-GGA SCAN level of DFT.

Output
Space group: Pm-3m, No. 221
Formation energy from the elements, meV/atom: 2563.0
V, Å³ per cell: 119.2

Unit cell a=4.921 b=4.921 c=4.921 alpha=90.00 beta=90.00 gamma=90.00
Positions (direct):
K1 0.000 0.000 0.000
Tc1 0.500 0.500 0.500
P1 0.000 0.000 0.500
P2 0.000 0.500 0.000
P3 0.500 0.000 0.000

8.
Computed, not measured: HfRuPbBr2 at its PBEsol-relaxed geometry at the meta-GGA SCAN level of DFT.

Output
E_form (uncorrected), meV/atom: 761
Space group: P4/mmm, No. 123
V, Å³ per cell: 123.8

Unit cell a=4.804 b=4.804 c=5.364 alpha=90.00 beta=90.00 gamma=90.00
Positions (direct):
Hf1 0.000 0.000 0.000
Ru1 0.500 0.500 0.500
Pb1 0.500 0.500 0.000
Br1 0.000 0.500 0.500
Br2 0.500 0.000 0.500

Record-wise DFT total energy values, in eV per cell: -232.55, -140.47, -108.53, -102.10, -35.04, -212.31, -61.77, -208.39